Record 1
Crystalline Rb2NiSb at its relaxed geometry. Source: Alexandria, functional PBE.

The structure in POSCAR format:
```
Rb2NiSb
1.0
-6.5818 6.5818 2.3802
6.5818 -6.5818 2.3802
6.5818 6.5818 -2.3802
Rb Ni Sb
4 2 2
direct
0.3750 0.1553 0.2803
0.8447 0.1250 0.2197
0.8750 0.0947 0.7197
0.9053 0.6250 0.7803
0.0000 0.0000 0.0000
0.7500 0.2500 0.5000
0.2500 0.7500 0.5000
0.5000 0.5000 0.0000
```

Space group: I-42d (122)
Formation energy without anion corrections, eV per atom: -0.073

Record 2
Crystalline RbNiSb2 at its relaxed geometry. Source: Alexandria, functional PBE.

The structure in POSCAR format:
```
RbNiSb2
1.0
-3.0018 3.0018 7.9910
3.0018 -3.0018 7.9910
3.0018 3.0018 -7.9910
Rb Ni Sb
2 2 4
direct
0.3750 0.6250 0.7500
0.6250 0.3750 0.2500
0.1250 0.8750 0.2500
0.8750 0.1250 0.7500
0.0000 0.0000 0.0000
0.0000 0.0000 0.5000
0.0000 0.5000 0.0000
0.5000 0.0000 0.5000
```

Offset from the most stable computed form, meV/atom: 229
Space group: I4_1/amd (141)
Formation energy without anion corrections, eV per atom: -0.040

Record 3
Crystalline RbNiSb2 at its relaxed geometry. Source: Alexandria, functional PBE.

The structure in POSCAR format:
```
RbNiSb2
1.0
2.0576 1.1880 7.8090
-2.0576 1.1880 7.8090
0.0000 -2.3759 7.8090
Rb Ni Sb
1 1 2
direct
0.0000 0.0000 0.0000
0.5000 0.5000 0.5000
0.2131 0.2131 0.2131
0.7869 0.7869 0.7869
```

Offset from the most stable computed form, meV/atom: 0
Space group: R-3m (166)
Formation energy without anion corrections, eV per atom: -0.269

Record 4
Crystalline RbNi3Sb at its relaxed geometry. Source: Alexandria, functional PBE.

The structure in POSCAR format:
```
RbNi3Sb
1.0
4.8952 0.0000 0.0000
0.0000 4.8952 0.0000
0.0000 0.0000 4.8952
Rb Ni Sb
1 3 1
direct
0.0000 0.0000 0.0000
0.0000 0.5000 0.5000
0.5000 0.0000 0.5000
0.5000 0.5000 0.0000
0.5000 0.5000 0.5000
```

Offset from the most stable computed form, meV/atom: 0
Space group: Pm-3m (221)
Formation energy without anion corrections, eV per atom: 0.584

Record 5
Crystalline RbNiSb2 at its relaxed geometry. Source: Alexandria, functional PBE.

The structure in POSCAR format:
```
RbNiSb2
1.0
0.0000 3.6967 3.6967
3.6967 0.0000 3.6967
3.6967 3.6967 0.0000
Rb Ni Sb
1 1 2
direct
0.0000 0.0000 0.0000
0.5000 0.5000 0.5000
0.2500 0.2500 0.2500
0.7500 0.7500 0.7500
```

Offset from the most stable computed form, meV/atom: 761
Space group: Fm-3m (225)
Formation energy without anion corrections, eV per atom: 0.492

Record 6
Crystalline RbNi3Sb at its relaxed geometry. Source: Alexandria, functional PBE.

The structure in POSCAR format:
```
RbNi3Sb
1.0
4.6965 0.0000 0.0000
0.0000 4.6965 0.0000
0.0000 0.0000 4.6965
Rb Ni Sb
1 3 1
direct
0.0000 0.0000 0.0000
0.0000 0.0000 0.5000
0.0000 0.5000 0.0000
0.5000 0.0000 0.0000
0.5000 0.5000 0.5000
```

Offset from the most stable computed form, meV/atom: 1299
Space group: Pm-3m (221)
Formation energy without anion corrections, eV per atom: 1.883

Record 7
Crystalline RbNiSbSe3 at its relaxed geometry. Source: Alexandria, functional PBE.

The structure in POSCAR format:
```
RbNiSbSe3
1.0
9.6334 0.0000 0.0000
0.0000 4.1199 0.0000
-2.5146 0.0000 9.3798
Rb Ni Sb Se
2 2 2 6
direct
0.2201 0.2500 0.1673
0.7799 0.7500 0.8327
0.4192 0.7500 0.9276
0.5808 0.2500 0.0724
0.1411 0.2500 0.6531
0.8589 0.7500 0.3469
0.1429 0.7500 0.4304
0.1574 0.7500 0.8569
0.4750 0.2500 0.8292
0.5250 0.7500 0.1708
0.8426 0.2500 0.1431
0.8571 0.2500 0.5696
```

Space group: P2_1/m (11)
Formation energy without anion corrections, eV per atom: -0.510

Record 8
Crystalline RbNiSn2Sb at its relaxed geometry. Source: Alexandria, functional PBE.

The structure in POSCAR format:
```
RbNiSn2Sb
1.0
5.7979 0.0000 0.0000
0.0000 5.7979 0.0000
0.0000 0.0000 6.7161
Rb Ni Sn Sb
1 1 2 1
direct
0.0000 0.0000 0.0000
0.5000 0.5000 0.0000
0.0000 0.5000 0.5000
0.5000 0.0000 0.5000
0.0000 0.0000 0.5000
```

Space group: P4/mmm (123)
Formation energy without anion corrections, eV per atom: 0.979

Record 9
Crystalline RbNiSbTe2 at its relaxed geometry. Source: Alexandria, functional PBE.

The structure in POSCAR format:
```
RbNiSbTe2
1.0
6.2162 0.0000 0.0000
0.0000 6.2162 0.0000
0.0000 0.0000 6.0381
Rb Ni Sb Te
1 1 1 2
direct
0.0000 0.0000 0.0000
0.5000 0.5000 0.5000
0.0000 0.0000 0.5000
0.0000 0.5000 0.0000
0.5000 0.0000 0.0000
```

Offset from the most stable computed form, meV/atom: 1815
Space group: P4/mmm (123)
Formation energy without anion corrections, eV per atom: 1.684

Record 10
Crystalline RbNiSbTe2 at its relaxed geometry. Source: Alexandria, functional PBE.

The structure in POSCAR format:
```
RbNiSbTe2
1.0
5.5376 0.0000 0.0000
0.0000 5.5376 0.0000
0.0000 0.0000 4.8505
Rb Ni Sb Te
1 1 1 2
direct
0.0000 0.0000 0.0000
0.5000 0.5000 0.5000
0.5000 0.5000 0.0000
0.0000 0.5000 0.5000
0.5000 0.0000 0.5000
```

Offset from the most stable computed form, meV/atom: 0
Space group: P4/mmm (123)
Formation energy without anion corrections, eV per atom: -0.131

Record 11
Crystalline RbSc2Ni at its relaxed geometry. Source: Alexandria, functional PBE.

The structure in POSCAR format:
```
RbSc2Ni
1.0
1.9208 1.1090 10.4158
-1.9208 1.1090 10.4158
0.0000 -2.2180 10.4158
Rb Sc Ni
1 2 1
direct
0.0000 0.0000 0.0000
0.1267 0.1267 0.1267
0.8733 0.8733 0.8733
0.5000 0.5000 0.5000
```

Offset from the most stable computed form, meV/atom: 0
Space group: R-3m (166)
Energy of formation from the pure elements, kJ/mol of formula units: 54

Record 12
Crystalline RbSc2Ni at its relaxed geometry. Source: Alexandria, functional PBE.

The structure in POSCAR format:
```
RbSc2Ni
1.0
-3.8466 3.8466 5.5312
3.8466 -3.8466 5.5312
3.8466 3.8466 -5.5312
Rb Sc Ni
2 4 2
direct
0.3750 0.6250 0.7500
0.6250 0.3750 0.2500
0.0000 0.0000 0.0000
0.0000 0.0000 0.5000
0.0000 0.5000 0.0000
0.5000 0.0000 0.5000
0.1250 0.8750 0.2500
0.8750 0.1250 0.7500
```

Offset from the most stable computed form, meV/atom: 405
Space group: I4_1/amd (141)
Energy of formation from the pure elements, kJ/mol of formula units: 211